No. 1
The following is a PBE calculation of crystalline PrCo5B3 at its relaxed geometry, from the Alexandria database.

Properties
SG: Cmcm
Calculated density in g/cm3: 7.69
E_form in eV per atom: -0.220

```
18
Lattice="-2.788 -2.044 0.460 4.618 -2.832 2.185 -1.690 4.391 9.264" Properties=species:S:1:pos:R:3 pbc="T T T"
B -1.368 0.058 5.185
B -0.628 -1.863 1.133
B -0.603 2.498 7.446
B 0.743 -2.983 4.463
B 0.768 1.378 10.776
B 1.507 -0.542 6.724
Co -0.172 -1.447 5.747
Co 0.461 -3.089 2.283
Co 0.000 0.000 0.000
Co -2.172 1.428 6.402
Co 2.312 -1.913 5.507
Co -0.845 2.196 4.632
Co 0.311 0.962 6.162
Co -0.321 2.605 9.627
Co 2.679 -2.866 3.496
Co -2.539 2.382 8.413
Pr 0.681 -0.222 3.143
Pr -0.541 -0.263 8.766
```

No. 2
The following is a PBE calculation of crystalline PrCo2B2 at its relaxed geometry, from the Alexandria database.

Properties
SG: I4/mmm
Calculated density in g/cm3: 7.17
E_form in eV per atom: -0.472

```
5
Lattice="5.649 0.003 0.000 3.369 4.534 0.000 -4.509 -2.269 2.536" Properties=species:S:1:pos:R:3 pbc="T T T"
B 5.989 3.014 0.000
B 3.028 1.524 0.000
Co 2.824 0.002 1.268
Co 1.684 2.267 1.268
Pr 0.000 0.000 0.000
```

No. 3
The following is a PBE calculation of crystalline PrCoB at its relaxed geometry, from the Alexandria database.

Properties
SG: P4/nmm
Calculated density in g/cm3: 6.63
E_form in eV per atom: -0.388
Excess energy over the best structure of this formula in the dataset in kJ/mol of formula units: 0

```
6
Lattice="3.582 0.000 0.000 0.000 3.582 0.000 0.000 0.000 8.217" Properties=species:S:1:pos:R:3 pbc="T T T"
Co 1.791 1.791 4.108
Co 0.000 0.000 4.108
B 1.791 0.000 5.032
B 0.000 1.791 3.185
Pr 1.791 0.000 1.700
Pr 0.000 1.791 6.517
```

Number 1: spin magnetization 0.352 μB per atom. Number 2: spin magnetization 0.000 μB per atom. Number 3: spin magnetization 0.000 μB per atom.